A relaxed structure of KSr2Sb, computed with PBE.

Cell: 7.095 7.095 3.949 Å, 103.12 103.12 112.83°
Atoms (fractional coordinates):
K: 0.000 0.000 0.000
Sr: 0.000 0.500 0.500
Sr: 0.500 0.000 0.500
Sb: 0.500 0.500 0.000

Values from the calculation:
uncorrected formation energy = -0.12 eV/atom
N(E_F) = 3.79 states/eV/cell